Be3TlNi, relaxed, DFT PBE; density of states at the Fermi level = 1.82 states/eV/f.u.; crystal system = cubic; total magnetization = 0.000 μB/atom; formation energy = 1.496 eV/atom
1.0
4.449 0.000 0.000
0.000 4.449 0.000
0.000 0.000 4.449
Be Tl Ni
3 1 1
direct
0.000 0.000 0.500 Be
0.000 0.500 0.000 Be
0.500 0.000 0.000 Be
0.000 0.000 0.000 Tl
0.500 0.500 0.500 Ni